Compound: TcSeBr2O
Source: the Alexandria database
Functional: PBE
Structure: optimized geometry

a = 5.0357 Å, b = 5.0357 Å, c = 4.7280 Å
α = 90.00°, β = 90.00°, γ = 90.00°
Space group P4/mmm (No. 123)
Symmetry-distinct sites (fractional):
Tc1 0.0000 0.0000 0.0000 (multiplicity 1)
Se1 0.0000 0.0000 0.5000 (multiplicity 1)
Br1 0.0000 0.5000 0.0000 (multiplicity 2)
O1 0.5000 0.5000 0.5000 (multiplicity 1)

ΔE_f (raw) in eV/atom: 0.78
D(E_F) in states/eV per cell: 10.74
Total magnetization in μB per formula unit: 0.0
E above lowest polymorph in eV/atom: 0.000
Final energy in eV per atom: -3.646
Calculated volume in Å³/cell: 120